Record 1
Material: TiZn2Co3
Method: DFT, PBE-GGA
State: optimized geometry

Cell: 6.489 6.489 5.761 Å, 90.00 90.00 143.12°
Positions (direct):
Ti (0.161, 0.839, 0.000)
Ti (0.839, 0.161, 0.000)
Zn (0.168, 0.832, 0.500)
Zn (0.500, 0.500, 0.000)
Zn (0.500, 0.500, 0.500)
Zn (0.832, 0.168, 0.500)
Co (0.000, 0.000, 0.257)
Co (0.000, 0.000, 0.743)
Co (0.331, 0.669, 0.247)
Co (0.331, 0.669, 0.753)
Co (0.669, 0.331, 0.247)
Co (0.669, 0.331, 0.753)

Calculated values
As for the total energy: -5.519 eV per atom. Its space group is No. 65. For the formation energy, the calculation gives -226 meV/atom.

---

Record 2
Material: LiCeI4
Method: DFT, PBE-GGA
State: optimized geometry

Cell: 7.553 4.514 7.654 Å, 90.00 93.11 90.00°
Positions (direct):
Li (0.000, 0.000, 0.000)
Ce (0.000, 0.500, 0.500)
I (0.220, 0.500, 0.170)
I (0.244, 0.000, 0.681)
I (0.756, 0.000, 0.319)
I (0.780, 0.500, 0.830)

Calculated values
As for the total energy: -3.621 eV per atom. Its space group is No. 10. The value obtained for the uncorrected formation energy is -1.28 eV/atom. The energy above the most stable polymorph in this dataset is 0.00 eV per formula unit.